! IrPd2F2 (PBE-GGA, relaxed); values from VASP
&SYSTEM
  ibrav = 0, nat = 10, ntyp = 3
/
ATOMIC_SPECIES
Ir 192.22 Ir.upf
Pd 106.42 Pd.upf
F 19.00 F.upf
ATOMIC_POSITIONS angstrom
Ir 0.000 0.000 0.000
Ir 3.564 3.564 0.000
Pd 1.220 2.344 0.000
Pd 2.344 5.907 0.000
Pd 4.784 1.220 0.000
Pd 5.907 4.784 0.000
F 0.888 4.452 1.319
F 2.675 0.888 1.319
F 4.452 6.239 1.319
F 6.239 2.675 1.319
CELL_PARAMETERS angstrom
7.128 0.000 0.000
0.000 7.128 0.000
0.000 0.000 2.638
! - Polymorph energy (0 for the lowest one): 181 meV/atom
! - Crystal system: tetragonal
! - Energy relative to the elements, uncorrected: 0.03 eV/atom

***

! K2CdCoN (PBE-GGA, relaxed); values from VASP
&SYSTEM
  ibrav = 0, nat = 5, ntyp = 4
/
ATOMIC_SPECIES
K 39.10 K.upf
Cd 112.41 Cd.upf
Co 58.93 Co.upf
N 14.01 N.upf
ATOMIC_POSITIONS angstrom
K 0.000 3.004 0.000
K 3.004 0.000 0.000
Cd 0.000 0.000 1.735
Co 3.004 3.004 1.735
N 3.004 3.004 0.000
CELL_PARAMETERS angstrom
6.009 0.000 0.000
0.000 6.009 0.000
0.000 0.000 3.470
! - Crystal system: tetragonal
! - Energy relative to the elements, uncorrected: 0.09 eV/atom

***

! Tb2TaGe3Ir4 (PBE-GGA, relaxed); values from VASP
&SYSTEM
  ibrav = 0, nat = 10, ntyp = 4
/
ATOMIC_SPECIES
Tb 158.93 Tb.upf
Ta 180.95 Ta.upf
Ge 72.64 Ge.upf
Ir 192.22 Ir.upf
ATOMIC_POSITIONS angstrom
Tb 0.000 2.076 2.526
Tb 2.076 0.000 8.241
Ta 0.000 0.000 5.384
Ge 0.000 2.076 9.370
Ge 2.076 0.000 1.398
Ge 2.076 2.076 5.384
Ir 0.000 0.000 0.000
Ir 0.000 2.076 6.912
Ir 2.076 0.000 3.855
Ir 2.076 2.076 0.000
CELL_PARAMETERS angstrom
4.151 0.000 0.000
0.000 4.151 0.000
0.000 0.000 10.767
! - Crystal system: tetragonal
! - Formation energy from the elements: -731 kJ/mol of formula units